Entry 1:
Here is Cs3Ag2PdCl6 after structural relaxation from Alexandria. Energies are from PBE.

abc: 7.8266 7.8266 8.7148
angles: 90.00 90.00 120.00
With the nearest neighbours (Å) after each atom.
Element x y z (fractional)
1 Cs 0.0000 0.0000 0.0000  6 Cl 3.43
2 Cs 0.3333 0.6667 0.6469  1 Ag 3.55, 9 Cl 3.80-3.93
3 Cs 0.6667 0.3333 0.3531  1 Ag 3.55, 9 Cl 3.80-3.93
4 Ag 0.3333 0.6667 0.2398  3 Cl 2.50
5 Ag 0.6667 0.3333 0.7602  3 Cl 2.50
6 Pd 0.0000 0.0000 0.5000  6 Cl 2.67
7 Cl 0.1549 0.3098 0.3109  1 Ag 2.50, 1 Pd 2.67
8 Cl 0.1549 0.8451 0.3109  1 Ag 2.50, 1 Pd 2.67
9 Cl 0.3098 0.1549 0.6891  1 Ag 2.50, 1 Pd 2.67
10 Cl 0.6902 0.8451 0.3109  1 Ag 2.50, 1 Pd 2.67
11 Cl 0.8451 0.1549 0.6891  1 Ag 2.50, 1 Pd 2.67
12 Cl 0.8451 0.6902 0.6891  1 Ag 2.50, 1 Pd 2.67

Calculated values
E_form (uncorrected): -1.044 eV per atom
VASP energy: -3.089 eV per atom

=====

Entry 2:
Here is Cs3Ag2PdCl9 after structural relaxation from Alexandria. Energies are from PBE.

abc: 7.3495 7.3495 8.9453
angles: 90.00 90.00 120.00
With the nearest neighbours (Å) after each atom.
Element x y z (fractional)
1 Cs 0.0000 0.0000 0.0000  12 Cl 3.67
2 Cs 0.3333 0.6667 0.6758  12 Cl 3.59-3.72
3 Cs 0.6667 0.3333 0.3242  12 Cl 3.59-3.72
4 Ag 0.3333 0.6667 0.1705  6 Cl 2.61-2.72
5 Ag 0.6667 0.3333 0.8295  6 Cl 2.61-2.72
6 Pd 0.0000 0.0000 0.5000  6 Cl 2.44
7 Cl 0.0000 0.5000 0.0000  2 Ag 2.61
8 Cl 0.1577 0.3154 0.3440  1 Pd 2.44, 1 Ag 2.72
9 Cl 0.1577 0.8423 0.3440  1 Pd 2.44, 1 Ag 2.72
10 Cl 0.3154 0.1577 0.6560  1 Pd 2.44, 1 Ag 2.72
11 Cl 0.5000 0.0000 0.0000  2 Ag 2.61
12 Cl 0.5000 0.5000 0.0000  2 Ag 2.61
13 Cl 0.6846 0.8423 0.3440  1 Pd 2.44, 1 Ag 2.72
14 Cl 0.8423 0.1577 0.6560  1 Pd 2.44, 1 Ag 2.72
15 Cl 0.8423 0.6846 0.6560  1 Pd 2.44, 1 Ag 2.72

Calculated values
E_form (uncorrected): -1.106 eV per atom
VASP energy: -3.111 eV per atom

=====

Entry 3:
Here is Cs3AgPd2Cl9 after structural relaxation from Alexandria. Energies are from PBE.

abc: 7.2406 7.2406 8.8756
angles: 90.00 90.00 120.00
With the nearest neighbours (Å) after each atom.
Element x y z (fractional)
1 Cs 0.0000 0.0000 0.0000  12 Cl 3.59-3.62
2 Cs 0.3333 0.6667 0.6632  12 Cl 3.62-3.65
3 Cs 0.6667 0.3333 0.3368  12 Cl 3.62-3.65
4 Ag 0.0000 0.0000 0.5000  6 Cl 2.67
5 Pd 0.3333 0.6667 0.1608  6 Cl 2.48-2.53
6 Pd 0.6667 0.3333 0.8392  6 Cl 2.48-2.53
7 Cl 0.0000 0.5000 0.0000  2 Pd 2.53
8 Cl 0.1722 0.3444 0.3231  1 Pd 2.48, 1 Ag 2.67
9 Cl 0.1722 0.8278 0.3231  1 Pd 2.48, 1 Ag 2.67
10 Cl 0.3444 0.1722 0.6769  1 Pd 2.48, 1 Ag 2.67
11 Cl 0.5000 0.0000 0.0000  2 Pd 2.53
12 Cl 0.5000 0.5000 0.0000  2 Pd 2.53
13 Cl 0.6556 0.8278 0.3231  1 Pd 2.48, 1 Ag 2.67
14 Cl 0.8278 0.1722 0.6769  1 Pd 2.48, 1 Ag 2.67
15 Cl 0.8278 0.6556 0.6769  1 Pd 2.48, 1 Ag 2.67

Calculated values
E_form (uncorrected): -1.097 eV per atom
VASP energy: -3.258 eV per atom

=====

Entry 4:
Here is CsAg2PdCl8 after structural relaxation from Alexandria. Energies are from PBE.

abc: 5.9230 6.0288 10.7855
angles: 77.67 88.52 85.74
With the nearest neighbours (Å) after each atom.
Element x y z (fractional)
1 Cs 0.0000 0.0000 0.0000  6 Cl 3.49-3.69
2 Ag 0.4532 0.5064 0.3205  4 Cl 2.38-2.53
3 Ag 0.5468 0.4936 0.6795  4 Cl 2.38-2.53
4 Pd 0.0000 0.0000 0.5000  6 Cl 2.39-2.41
5 Cl 0.1860 0.7482 0.6761  1 Pd 2.40, 1 Ag 2.53
6 Cl 0.1955 0.8558 0.3319  1 Pd 2.41, 1 Ag 2.53
7 Cl 0.2799 0.2630 0.5070  1 Pd 2.39, 1 Ag 2.47
8 Cl 0.4669 0.3100 0.8929  1 Ag 2.38
9 Cl 0.5331 0.6900 0.1071  1 Ag 2.38
10 Cl 0.7201 0.7370 0.4930  1 Pd 2.39, 1 Ag 2.47
11 Cl 0.8045 0.1442 0.6681  1 Pd 2.41, 1 Ag 2.53
12 Cl 0.8140 0.2518 0.3239  1 Pd 2.40, 1 Ag 2.53

Calculated values
E_form (uncorrected): -0.632 eV per atom
VASP energy: -2.842 eV per atom